Record 1
A geometry-optimized Cs4Hg12Pt3Au structure. Source: Alexandria via LeMat-Bulk, functional PBE.

Calculated values
total magnetic moment: 0.00 μB per cell
E_form: -0.2740 eV per atom
calculated density: 9377 kg/m3

Structure (CIF):
```
data_Cs4Hg12Pt3Au
_cell_length_a 10.964
_cell_length_b 10.964
_cell_length_c 10.964
_cell_angle_alpha 90.00
_cell_angle_beta 90.00
_cell_angle_gamma 90.00
_space_group_name_H-M_alt 'I m -3 m'
_space_group_IT_number 229
_space_group_name_Hall '-I 4 2 3'
loop_
_atom_site_label
_atom_site_type_symbol
_atom_site_fract_x
_atom_site_fract_y
_atom_site_fract_z
_atom_site_occupancy
Cs1 Cs 0.250 0.250 0.250 1
Hg1 Hg 0.000 0.000 0.254 1
Hg2 Hg 0.000 0.250 0.500 1
Pt1 Pt 0.000 0.000 0.500 1
Au1 Au 0.000 0.000 0.000 1
```


Record 2
A geometry-optimized LaHgCl3 structure. Source: Alexandria via LeMat-Bulk, functional PBE.

Calculated values
total magnetic moment: 0.00 μB per cell
calculated density: 4187 kg/m3
uncorrected energy: -19.9 eV for the cell shown

Structure (CIF):
```
data_LaHgCl3
_cell_length_a 5.613
_cell_length_b 5.613
_cell_length_c 5.613
_cell_angle_alpha 90.00
_cell_angle_beta 90.00
_cell_angle_gamma 90.00
_space_group_name_H-M_alt 'P m -3 m'
_space_group_IT_number 221
_space_group_name_Hall '-P 4 2 3'
loop_
_atom_site_label
_atom_site_type_symbol
_atom_site_fract_x
_atom_site_fract_y
_atom_site_fract_z
_atom_site_occupancy
La1 La 0.000 0.000 0.000 1
Hg1 Hg 0.500 0.500 0.500 1
Cl1 Cl 0.000 0.000 0.500 1
```


Record 3
A geometry-optimized Tb4Al12Zn structure. Source: Alexandria via LeMat-Bulk, functional PBE.

Calculated values
total magnetic moment: 0.00 μB per cell
E_form: -0.3856 eV per atom
calculated density: 5146 kg/m3

Structure (CIF):
```
data_Tb4Al12Zn
_cell_length_a 8.713
_cell_length_b 8.713
_cell_length_c 8.713
_cell_angle_alpha 90.00
_cell_angle_beta 90.00
_cell_angle_gamma 90.00
_space_group_name_H-M_alt 'I m -3 m'
_space_group_IT_number 229
_space_group_name_Hall '-I 4 2 3'
loop_
_atom_site_label
_atom_site_type_symbol
_atom_site_fract_x
_atom_site_fract_y
_atom_site_fract_z
_atom_site_occupancy
Tb1 Tb 0.250 0.250 0.250 1
Al1 Al 0.000 0.000 0.301 1
Al2 Al 0.000 0.250 0.500 1
Zn1 Zn 0.000 0.000 0.000 1
```


Record 4
A geometry-optimized SmEr3Cu2 structure. Source: Alexandria via LeMat-Bulk, functional PBE.

Calculated values
total magnetic moment: 0.00 μB per cell
E_form: -0.1698 eV per atom
calculated density: 8906 kg/m3

Structure (CIF):
```
data_SmEr3Cu2
_cell_length_a 3.463
_cell_length_b 3.463
_cell_length_c 12.113
_cell_angle_alpha 90.00
_cell_angle_beta 90.00
_cell_angle_gamma 90.00
_space_group_name_H-M_alt 'P 4/m m m'
_space_group_IT_number 123
_space_group_name_Hall '-P 4 2'
loop_
_atom_site_label
_atom_site_type_symbol
_atom_site_fract_x
_atom_site_fract_y
_atom_site_fract_z
_atom_site_occupancy
Sm1 Sm 0.000 0.000 0.000 1
Er1 Er 0.500 0.500 0.220 1
Er2 Er 0.500 0.500 0.500 1
Cu1 Cu 0.000 0.000 0.358 1
```


Record 5
A geometry-optimized Sm3ScIn structure. Source: Alexandria via LeMat-Bulk, functional PBE.

Calculated values
total magnetic moment: 0.00 μB per cell
E_form: -0.1574 eV per atom
calculated density: 6839 kg/m3

Structure (CIF):
```
data_Sm3ScIn
_cell_length_a 8.659
_cell_length_b 3.665
_cell_length_c 9.397
_cell_angle_alpha 90.00
_cell_angle_beta 95.94
_cell_angle_gamma 90.00
_space_group_name_H-M_alt 'P 1 21/m 1'
_space_group_IT_number 11
_space_group_name_Hall '-P 2yb'
loop_
_atom_site_label
_atom_site_type_symbol
_atom_site_fract_x
_atom_site_fract_y
_atom_site_fract_z
_atom_site_occupancy
Sm1 Sm 0.022 0.250 0.183 1
Sm2 Sm 0.330 0.750 0.026 1
Sm3 Sm 0.417 0.250 0.355 1
Sc1 Sc 0.147 0.750 0.497 1
In1 In 0.292 0.250 0.734 1
```


Record 6
A geometry-optimized Hg4ClO3 structure. Source: Alexandria via LeMat-Bulk, functional PBE.

Calculated values
total magnetic moment: 0.00 μB per cell
calculated density: 8583 kg/m3
uncorrected energy: -39.9 eV for the cell shown

Structure (CIF):
```
data_Hg4ClO3
_cell_length_a 7.704
_cell_length_b 6.828
_cell_length_c 6.516
_cell_angle_alpha 90.00
_cell_angle_beta 90.00
_cell_angle_gamma 90.00
_space_group_name_H-M_alt 'P m n 21'
_space_group_IT_number 31
_space_group_name_Hall 'P 2ac -2'
loop_
_atom_site_label
_atom_site_type_symbol
_atom_site_fract_x
_atom_site_fract_y
_atom_site_fract_z
_atom_site_occupancy
Hg1 Hg 0.000 0.139 0.000 1
Hg2 Hg 0.000 0.761 0.601 1
Hg3 Hg 0.209 0.633 0.115 1
Cl1 Cl 0.000 0.159 0.453 1
O1 O 0.000 0.817 0.948 1
O2 O 0.241 0.334 0.956 1
```


Record 7
A geometry-optimized NpURhS4 structure. Source: Alexandria via LeMat-Bulk, functional PBE.

Calculated values
total magnetic moment: 9.76 μB per cell
calculated density: 8690 kg/m3
uncorrected energy: -111.3 eV for the cell shown

Structure (CIF):
```
data_NpURhS4
_cell_length_a 6.428
_cell_length_b 5.821
_cell_length_c 7.518
_cell_angle_alpha 90.00
_cell_angle_beta 106.41
_cell_angle_gamma 90.00
_space_group_name_H-M_alt 'P 1 21/m 1'
_space_group_IT_number 11
_space_group_name_Hall '-P 2yb'
loop_
_atom_site_label
_atom_site_type_symbol
_atom_site_fract_x
_atom_site_fract_y
_atom_site_fract_z
_atom_site_occupancy
Np1 Np 0.241 0.250 0.059 1
U1 U 0.243 0.250 0.557 1
Rh1 Rh 0.235 0.750 0.316 1
S1 S 0.033 0.519 0.756 1
S2 S 0.445 0.750 0.619 1
S3 S 0.449 0.750 0.112 1
```


Record 8
A geometry-optimized Ac2CeUS8 structure. Source: Alexandria via LeMat-Bulk, functional PBE.

Calculated values
total magnetic moment: 0.04 μB per cell
calculated density: 5949 kg/m3
uncorrected energy: -78.5 eV for the cell shown

Structure (CIF):
```
data_Ac2CeUS8
_cell_length_a 4.735
_cell_length_b 9.374
_cell_length_c 6.851
_cell_angle_alpha 90.00
_cell_angle_beta 92.37
_cell_angle_gamma 90.00
_space_group_name_H-M_alt 'P 1 2/m 1'
_space_group_IT_number 10
_space_group_name_Hall '-P 2y'
loop_
_atom_site_label
_atom_site_type_symbol
_atom_site_fract_x
_atom_site_fract_y
_atom_site_fract_z
_atom_site_occupancy
Ac1 Ac 0.000 0.249 0.000 1
Ce1 Ce 0.500 0.500 0.500 1
U1 U 0.500 0.000 0.500 1
S1 S 0.000 0.500 0.267 1
S2 S 0.010 0.000 0.283 1
S3 S 0.485 0.235 0.726 1
```